## LiCoPtO4 (GGA+U)

Data for LiCoPtO4 after structural relaxation.

As for the density of states at the Fermi level: 0.0 states/eV/cell. For the total energy, the calculation gives -5.78 eV per atom.

The space group is Imma (No. 74) and the conventional cell measures 5.7555, 6.1525 and 8.4266 Å, with angles of 90.00, 90.00 and 90.00 degrees. The inequivalent atoms are Li at (0.0000, 0.2500, 0.1330), Co at (0.2500, 0.2500, 0.7500), Pt at (0.0000, 0.0000, 0.5000), O at (0.0000, 0.0375, 0.7417) and O at (0.2318, 0.2500, 0.5197).